# TbH8PdRh4

A relaxed TbH8PdRh4 crystal (PBE, Alexandria).

Results
SG ... No. 160
Crystal system ... trigonal
VASP energy ... -4.9291 eV per atom
Density ... 8.92 g cm⁻³

Unit cell a=5.6501 b=5.6501 c=5.6482 alpha=59.99 beta=59.99 gamma=60.00
Element x y z (fractional)
Rh  0.0015  0.5072  0.4897
H  0.7654  0.7654  0.7038
H  0.2648  0.7094  0.3165
H  0.2246  0.2246  0.3263
Pd  0.9976  0.9976  0.0071
H  0.2228  0.8542  0.7003
H  0.7094  0.7094  0.3165
Rh  0.0015  0.0015  0.4897
Tb  0.3830  0.3830  0.8510
Rh  0.5072  0.0015  0.4897
H  0.8542  0.2228  0.7003
H  0.7094  0.2648  0.3165
H  0.2228  0.2228  0.7003
Rh  0.6359  0.6359  0.0924